VASP calculation (PBE) on KSrP2 after structural relaxation.

Cell lengths 7.3781, 7.3781, 7.3781 Å; angles 90.00, 90.00, 90.00 degrees
Closest atoms and distances in Å follow each position.
Space group F-43m (No. 216)
Symmetry-distinct sites (fractional):
K1 0.0000 0.0000 0.0000 x4  4 P 3.19, 4 Sr 3.19
Sr1 0.2500 0.2500 0.2500 x4  4 K 3.19, 4 P 3.19
P1 0.0000 0.0000 0.5000 x4  4 Sr 3.19, 4 P 3.19
P2 0.2500 0.2500 0.7500 x4  4 K 3.19, 4 P 3.19

## Properties
The value obtained for the energy above the most stable polymorph in this dataset is 749 meV per atom. For the formation energy, the calculation gives 104 meV per atom.

VASP calculation (PBE) on KSrP2 after structural relaxation.

Cell lengths 4.4604, 4.4604, 10.5006 Å; angles 90.00, 90.00, 90.00 degrees
Closest atoms and distances in Å follow each position.
Space group I-4m2 (No. 119)
Symmetry-distinct sites (fractional):
K1 0.0000 0.0000 0.0000 x2  8 P 3.15-3.44, 4 Sr 3.44
Sr1 0.0000 0.5000 0.2500 x2  8 P 3.15-3.44, 4 K 3.44
P1 0.0000 0.0000 0.5000 x2  4 K 3.15, 4 Sr 3.44, 4 P 3.44
P2 0.0000 0.5000 0.7500 x2  4 Sr 3.15, 4 K 3.44, 4 P 3.44

## Properties
The value obtained for the energy above the most stable polymorph in this dataset is 582 meV per atom. For the formation energy, the calculation gives -63 meV per atom.